# 1
# RuBrCl2

An optimized crystal structure of RuBrCl2 (PBE-GGA, Alexandria).

The formation energy from raw total energies is 918.3 meV per atom. As for the symmetry: P4/mmm (123). For the total DFT energy (no corrections), the calculation gives -10.97 eV for the cell shown. As for the crystal system: tetragonal.

Cell lengths 3.812, 4.749, 4.749 Å; angles 90.00, 90.00, 90.00 degrees
Positions (direct):
Ru 0.500 0.500 0.000
Br 0.500 0.000 0.500
Cl 0.000 0.000 0.000
Cl 0.000 0.500 0.500



# 2
# RuBr2Cl

An optimized crystal structure of RuBr2Cl (PBE-GGA, Alexandria).

The formation energy from raw total energies is 816.7 meV per atom. As for the symmetry: Fm-3m (225). For the total DFT energy (no corrections), the calculation gives -11.20 eV for the cell shown. As for the crystal system: cubic.

Cell lengths 4.775, 4.775, 4.775 Å; angles 60.00, 60.00, 60.00 degrees
Positions (direct):
Ru 0.500 0.500 0.500
Br 0.250 0.250 0.250
Br 0.750 0.750 0.750
Cl 0.000 0.000 0.000



# 3
# RuBr3Cl

An optimized crystal structure of RuBr3Cl (PBE-GGA, Alexandria).

The formation energy from raw total energies is -280.4 meV per atom. As for the symmetry: P2_1/m (11). For the total DFT energy (no corrections), the calculation gives -35.09 eV for the cell shown. As for the crystal system: monoclinic.

Cell lengths 6.497, 6.478, 7.551 Å; angles 90.00, 90.00, 97.65 degrees
Positions (direct):
Ru 0.783 0.985 0.552
Ru 0.778 0.980 0.052
Br 0.067 0.268 0.552
Br 0.494 0.698 0.052
Br 0.607 0.158 0.802
Br 0.607 0.158 0.302
Br 0.954 0.807 0.302
Br 0.954 0.807 0.802
Cl 0.046 0.247 0.052
Cl 0.515 0.718 0.552



# 4
# RuBr2Cl2

An optimized crystal structure of RuBr2Cl2 (PBE-GGA, Alexandria).

The formation energy from raw total energies is -351.2 meV per atom. As for the symmetry: Cmmm (65). For the total DFT energy (no corrections), the calculation gives -36.14 eV for the cell shown. As for the crystal system: orthorhombic.

Cell lengths 7.533, 7.423, 7.423 Å; angles 68.71, 59.51, 59.51 degrees
Positions (direct):
Ru 0.250 0.000 0.000
Ru 0.750 0.000 0.000
Br 0.177 0.823 0.823
Br 0.823 0.177 0.177
Br 0.677 0.823 0.823
Br 0.323 0.177 0.177
Cl 0.250 0.729 0.271
Cl 0.250 0.271 0.729
Cl 0.750 0.729 0.271
Cl 0.750 0.271 0.729



# 5
# RuBrCl6

An optimized crystal structure of RuBrCl6 (PBE-GGA, Alexandria).

The formation energy from raw total energies is -290.1 meV per atom. As for the symmetry: C2/c (15). For the total DFT energy (no corrections), the calculation gives -48.70 eV for the cell shown. As for the crystal system: monoclinic.

Cell lengths 7.373, 7.373, 11.487 Å; angles 104.10, 104.10, 77.46 degrees
Positions (direct):
Ru 0.000 0.500 0.500
Ru 0.500 0.000 0.000
Br 0.979 0.021 0.250
Br 0.021 0.979 0.750
Cl 0.245 0.629 0.482
Cl 0.755 0.371 0.518
Cl 0.371 0.755 0.018
Cl 0.629 0.245 0.982
Cl 0.851 0.528 0.304
Cl 0.149 0.472 0.696
Cl 0.472 0.149 0.196
Cl 0.528 0.851 0.804
Cl 0.189 0.165 0.929
Cl 0.811 0.835 0.071
Cl 0.835 0.811 0.571
Cl 0.165 0.189 0.429



# 6
# RuBrCl2

An optimized crystal structure of RuBrCl2 (PBE-GGA, Alexandria).

The formation energy from raw total energies is -2.6 meV per atom. As for the symmetry: Immm (71). For the total DFT energy (no corrections), the calculation gives -14.65 eV for the cell shown. As for the crystal system: orthorhombic.

Cell lengths 7.121, 7.121, 7.121 Å; angles 155.20, 138.34, 49.10 degrees
Positions (direct):
Ru 0.750 0.250 0.500
Br 0.250 0.750 0.500
Cl 0.893 0.893 0.000
Cl 0.607 0.607 0.000



# 7
# Ru4BrCl

An optimized crystal structure of Ru4BrCl (PBE-GGA, Alexandria).

The formation energy from raw total energies is 1277.2 meV per atom. As for the symmetry: F-43m (216). For the total DFT energy (no corrections), the calculation gives -32.96 eV for the cell shown. As for the crystal system: cubic.

Cell lengths 5.295, 5.295, 5.295 Å; angles 60.00, 60.00, 60.00 degrees
Positions (direct):
Ru 0.874 0.375 0.375
Ru 0.375 0.375 0.874
Ru 0.375 0.874 0.375
Ru 0.375 0.375 0.375
Br 0.750 0.750 0.750
Cl 0.000 0.000 0.000



# 8
# RuBr2Cl

An optimized crystal structure of RuBr2Cl (PBE-GGA, Alexandria).

The formation energy from raw total energies is 936.3 meV per atom. As for the symmetry: P4/mmm (123). For the total DFT energy (no corrections), the calculation gives -10.72 eV for the cell shown. As for the crystal system: tetragonal.

Cell lengths 5.107, 5.107, 3.393 Å; angles 90.00, 90.00, 90.00 degrees
Positions (direct):
Ru 0.000 0.500 0.500
Br 0.000 0.000 0.000
Br 0.500 0.500 0.000
Cl 0.500 0.000 0.500



# 9
# RuBr2Cl

An optimized crystal structure of RuBr2Cl (PBE-GGA, Alexandria).

The formation energy from raw total energies is 719.5 meV per atom. As for the symmetry: Cmmm (65). For the total DFT energy (no corrections), the calculation gives -11.59 eV for the cell shown. As for the crystal system: orthorhombic.

Cell lengths 6.541, 6.541, 3.830 Å; angles 90.00, 90.00, 135.49 degrees
Positions (direct):
Ru 0.000 0.500 0.500
Br 0.000 0.000 0.000
Br 0.500 0.500 0.000
Cl 0.500 0.000 0.500



# 10
# RuBr2Cl

An optimized crystal structure of RuBr2Cl (PBE-GGA, Alexandria).

The formation energy from raw total energies is 141.9 meV per atom. As for the symmetry: R-3m (166). For the total DFT energy (no corrections), the calculation gives -13.90 eV for the cell shown. As for the crystal system: trigonal.

Cell lengths 8.438, 8.438, 8.438 Å; angles 26.00, 26.00, 26.00 degrees
Positions (direct):
Ru 0.500 0.500 0.500
Br 0.887 0.887 0.887
Br 0.113 0.113 0.113
Cl 0.000 0.000 0.000



# 11
# RuBrCl3

An optimized crystal structure of RuBrCl3 (PBE-GGA, Alexandria).

The formation energy from raw total energies is 1046.7 meV per atom. As for the symmetry: Pm-3m (221). For the total DFT energy (no corrections), the calculation gives -11.26 eV for the cell shown. As for the crystal system: cubic.

Cell lengths 5.254, 5.254, 5.254 Å; angles 90.00, 90.00, 90.00 degrees
Positions (direct):
Ru 0.500 0.500 0.500
Br 0.000 0.000 0.000
Cl 0.000 0.500 0.000
Cl 0.000 0.000 0.500
Cl 0.500 0.000 0.000



# 12
# RuBr2Cl

An optimized crystal structure of RuBr2Cl (PBE-GGA, Alexandria).

The formation energy from raw total energies is 161.6 meV per atom. As for the symmetry: Immm (71). For the total DFT energy (no corrections), the calculation gives -13.82 eV for the cell shown. As for the crystal system: orthorhombic.

Cell lengths 7.578, 7.578, 7.578 Å; angles 156.18, 144.44, 43.25 degrees
Positions (direct):
Ru 0.750 0.250 0.500
Br 0.895 0.895 0.000
Br 0.605 0.605 0.000
Cl 0.250 0.750 0.500



# 13
# RuBrCl3

An optimized crystal structure of RuBrCl3 (PBE-GGA, Alexandria).

The formation energy from raw total energies is -350.8 meV per atom. As for the symmetry: Pmn2_1 (31). For the total DFT energy (no corrections), the calculation gives -36.49 eV for the cell shown. As for the crystal system: orthorhombic.

Cell lengths 5.653, 7.102, 6.573 Å; angles 89.96, 90.00, 90.00 degrees
Positions (direct):
Ru 0.174 0.674 0.701
Ru 0.674 0.678 0.201
Br 0.392 0.380 0.701
Br 0.892 0.973 0.201
Cl 0.465 0.402 0.201
Cl 0.423 0.818 0.950
Cl 0.924 0.535 0.450
Cl 0.965 0.951 0.701
Cl 0.924 0.535 0.952
Cl 0.424 0.818 0.452



# 14
# RuBr2Cl

An optimized crystal structure of RuBr2Cl (PBE-GGA, Alexandria).

The formation energy from raw total energies is 380.3 meV per atom. As for the symmetry: P4mm (99). For the total DFT energy (no corrections), the calculation gives -12.95 eV for the cell shown. As for the crystal system: tetragonal.

Cell lengths 3.153, 3.153, 10.612 Å; angles 90.00, 90.00, 90.00 degrees
Positions (direct):
Ru 0.500 0.500 0.746
Br 0.000 0.000 0.908
Br 0.500 0.500 0.247
Cl 0.000 0.000 0.600



# 15
# RuBrCl2

An optimized crystal structure of RuBrCl2 (PBE-GGA, Alexandria).

The formation energy from raw total energies is 914.3 meV per atom. As for the symmetry: Cmmm (65). For the total DFT energy (no corrections), the calculation gives -10.98 eV for the cell shown. As for the crystal system: orthorhombic.

Cell lengths 5.151, 5.151, 3.194 Å; angles 90.00, 90.00, 98.32 degrees
Positions (direct):
Ru 0.500 0.000 0.500
Br 0.000 0.500 0.500
Cl 0.000 0.000 0.000
Cl 0.500 0.500 0.000



# 16
# RuBrCl2

An optimized crystal structure of RuBrCl2 (PBE-GGA, Alexandria).

The formation energy from raw total energies is 281.1 meV per atom. As for the symmetry: P4/mmm (123). For the total DFT energy (no corrections), the calculation gives -13.52 eV for the cell shown. As for the crystal system: tetragonal.

Cell lengths 3.092, 3.090, 10.867 Å; angles 90.00, 90.00, 90.00 degrees
Positions (direct):
Ru 0.500 0.500 0.250
Br 0.500 0.500 0.750
Cl 0.000 0.000 0.104
Cl 0.000 0.000 0.396



# 17
# RuBr2Cl

An optimized crystal structure of RuBr2Cl (PBE-GGA, Alexandria).

The formation energy from raw total energies is 693.0 meV per atom. As for the symmetry: C2/m (12). For the total DFT energy (no corrections), the calculation gives -11.70 eV for the cell shown. As for the crystal system: monoclinic.

Cell lengths 5.296, 6.148, 3.998 Å; angles 82.01, 64.41, 106.87 degrees
Positions (direct):
Ru 0.500 0.500 0.000
Br 0.000 0.000 0.000
Br 0.500 0.000 0.500
Cl 0.000 0.500 0.500



# 18
# RuBr2Cl

An optimized crystal structure of RuBr2Cl (PBE-GGA, Alexandria).

The formation energy from raw total energies is 501.5 meV per atom. As for the symmetry: P4/mmm (123). For the total DFT energy (no corrections), the calculation gives -12.46 eV for the cell shown. As for the crystal system: tetragonal.

Cell lengths 3.197, 3.198, 8.534 Å; angles 90.00, 90.00, 90.00 degrees
Positions (direct):
Ru 0.500 0.500 0.750
Br 0.000 0.000 0.932
Br 0.000 0.000 0.568
Cl 0.500 0.500 0.250



# 19
# RuBr2Cl

An optimized crystal structure of RuBr2Cl (PBE-GGA, Alexandria).

The formation energy from raw total energies is 803.8 meV per atom. As for the symmetry: Pmmm (47). For the total DFT energy (no corrections), the calculation gives -11.25 eV for the cell shown. As for the crystal system: orthorhombic.

Cell lengths 3.410, 4.381, 6.871 Å; angles 90.00, 90.00, 90.00 degrees
Positions (direct):
Ru 0.000 0.500 0.500
Br 0.000 0.000 0.000
Br 0.500 0.500 0.000
Cl 0.500 0.000 0.500



# 20
# RuBrCl2

An optimized crystal structure of RuBrCl2 (PBE-GGA, Alexandria).

The formation energy from raw total energies is -451.8 meV per atom. As for the symmetry: Cc (9). For the total DFT energy (no corrections), the calculation gives -32.90 eV for the cell shown. As for the crystal system: monoclinic.

Cell lengths 5.787, 7.541, 7.541 Å; angles 104.47, 111.79, 111.79 degrees
Positions (direct):
Ru 0.195 0.631 0.131
Ru 0.695 0.631 0.131
Br 0.214 0.479 0.805
Br 0.714 0.305 0.979
Cl 0.161 0.774 0.433
Cl 0.661 0.933 0.274
Cl 0.447 0.476 0.291
Cl 0.947 0.791 0.976



# 21
# RuBrCl2

An optimized crystal structure of RuBrCl2 (PBE-GGA, Alexandria).

The formation energy from raw total energies is -59.3 meV per atom. As for the symmetry: C2/m (12). For the total DFT energy (no corrections), the calculation gives -14.88 eV for the cell shown. As for the crystal system: monoclinic.

Cell lengths 3.641, 3.641, 9.088 Å; angles 82.03, 82.03, 50.46 degrees
Positions (direct):
Ru 0.250 0.250 0.250
Br 0.750 0.750 0.750
Cl 0.975 0.975 0.101
Cl 0.525 0.525 0.399



# 22
# RuBrCl2

An optimized crystal structure of RuBrCl2 (PBE-GGA, Alexandria).

The formation energy from raw total energies is -298.8 meV per atom. As for the symmetry: Cmmm (65). For the total DFT energy (no corrections), the calculation gives -15.84 eV for the cell shown. As for the crystal system: orthorhombic.

Cell lengths 3.588, 6.687, 6.685 Å; angles 44.68, 90.00, 90.00 degrees
Positions (direct):
Ru 0.500 0.250 0.250
Br 0.500 0.750 0.750
Cl 0.000 0.123 0.123
Cl 0.000 0.377 0.377



# 23
# RuBr2Cl

An optimized crystal structure of RuBr2Cl (PBE-GGA, Alexandria).

The formation energy from raw total energies is 21.9 meV per atom. As for the symmetry: Cm (8). For the total DFT energy (no corrections), the calculation gives -14.38 eV for the cell shown. As for the crystal system: monoclinic.

Cell lengths 3.742, 3.742, 9.041 Å; angles 81.97, 81.97, 50.02 degrees
Positions (direct):
Ru 0.250 0.250 0.248
Br 0.977 0.977 0.089
Br 0.748 0.748 0.764
Cl 0.526 0.526 0.399



# 24
# RuBrCl3

An optimized crystal structure of RuBrCl3 (PBE-GGA, Alexandria).

The formation energy from raw total energies is -394.3 meV per atom. As for the symmetry: Cc (9). For the total DFT energy (no corrections), the calculation gives -36.92 eV for the cell shown. As for the crystal system: monoclinic.

Cell lengths 6.905, 6.112, 8.361 Å; angles 77.43, 73.62, 110.99 degrees
Positions (direct):
Ru 0.798 0.095 0.370
Ru 0.928 0.725 0.109
Br 0.804 0.592 0.890
Br 0.456 0.743 0.588
Cl 0.918 0.223 0.572
Cl 0.717 0.958 0.132
Cl 0.116 0.469 0.130
Cl 0.610 0.351 0.346
Cl 0.007 0.860 0.348
Cl 0.251 0.057 0.906



# 25
# RuBrCl2

An optimized crystal structure of RuBrCl2 (PBE-GGA, Alexandria).

The formation energy from raw total energies is -325.4 meV per atom. As for the symmetry: Pm (6). For the total DFT energy (no corrections), the calculation gives -15.94 eV for the cell shown. As for the crystal system: monoclinic.

Cell lengths 3.680, 6.798, 6.806 Å; angles 40.11, 90.00, 90.00 degrees
Positions (direct):
Ru 0.000 0.508 0.508
Br 0.500 0.638 0.637
Cl 0.000 0.971 0.971
Cl 0.500 0.383 0.384



# 26
# RuBr2Cl

An optimized crystal structure of RuBr2Cl (PBE-GGA, Alexandria).

The formation energy from raw total energies is -235.8 meV per atom. As for the symmetry: C2 (5). For the total DFT energy (no corrections), the calculation gives -15.41 eV for the cell shown. As for the crystal system: monoclinic.

Cell lengths 3.758, 4.742, 7.297 Å; angles 88.71, 75.13, 90.00 degrees
Positions (direct):
Ru 0.017 0.000 0.000
Br 0.391 0.992 0.240
Br 0.630 0.008 0.760
Cl 0.962 0.500 0.000



# 27
# RuBr2Cl

An optimized crystal structure of RuBr2Cl (PBE-GGA, Alexandria).

The formation energy from raw total energies is 219.3 meV per atom. As for the symmetry: Cmm2 (35). For the total DFT energy (no corrections), the calculation gives -13.59 eV for the cell shown. As for the crystal system: orthorhombic.

Cell lengths 3.787, 3.787, 10.628 Å; angles 90.00, 90.00, 131.13 degrees
Positions (direct):
Ru 0.500 0.500 0.746
Br 0.000 0.000 0.927
Br 0.500 0.500 0.246
Cl 0.000 0.000 0.581



# 28
# RuBr2Cl3

An optimized crystal structure of RuBr2Cl3 (PBE-GGA, Alexandria).

The formation energy from raw total energies is -179.9 meV per atom. As for the symmetry: Imm2 (44). For the total DFT energy (no corrections), the calculation gives -19.24 eV for the cell shown. As for the crystal system: orthorhombic.

Cell lengths 4.862, 7.627, 7.627 Å; angles 55.61, 71.41, 71.41 degrees
Positions (direct):
Ru 0.799 0.701 0.701
Br 0.660 0.597 0.083
Br 0.660 0.083 0.597
Cl 0.272 0.728 0.728
Cl 0.926 0.801 0.347
Cl 0.926 0.347 0.801